# MnReCl PBE optimized geometry
data_MnReCl
_chemical_formula_sum 'Mn2 Re2 Cl2'
_cell_length_a 2.848
_cell_length_b 2.848
_cell_length_c 10.659
_cell_angle_alpha 90.00
_cell_angle_beta 90.00
_cell_angle_gamma 90.00
_symmetry_space_group_name_H-M 'I 4 m m'
_symmetry_Int_Tables_number 107
_symmetry_space_group_name_Hall 'I 4 -2'
loop_
_atom_site_label
_atom_site_fract_x
_atom_site_fract_y
_atom_site_fract_z
Mn1 0.000 0.000 0.000
Re1 0.000 0.000 0.635
Cl1 0.000 0.000 0.322
# offset from the most stable computed form = 0.33 eV per formula unit
# D(E_F) = 4.6 states/eV/cell
# calculated density = 10.6 g/cm3
# M_tot = 0.00 μB per formula unit